(1)
ZrTa2Cu: relaxed, PBE.

Density of states at the Fermi level in states/eV per cell: 12.37
Excess energy over the best structure of this formula in the dataset in eV/f.u.: 1.83
DFT total energy in eV per atom: -8.580

Cell: 10.4251 10.4251 10.4251 Å, 158.44 158.44 30.68°
Last column: nearest neighbours and their distance in Å.
Positions (direct):
Zr (0.0000, 0.0000, 0.0000)  4 Cu 2.76, 4 Ta 2.87
Zr (0.7500, 0.2500, 0.5000)  4 Cu 2.76, 4 Ta 2.87
Ta (0.1245, 0.6250, 0.9995)  4 Ta 2.76, 2 Zr 2.87, 2 Cu 2.87
Ta (0.3750, 0.3745, 0.4995)  4 Ta 2.76, 2 Zr 2.87, 2 Cu 2.87
Ta (0.6255, 0.1250, 0.0005)  4 Ta 2.76, 2 Zr 2.87, 2 Cu 2.87
Ta (0.8750, 0.8755, 0.5005)  4 Ta 2.76, 2 Zr 2.87, 2 Cu 2.87
Cu (0.2500, 0.7500, 0.5000)  4 Zr 2.76, 4 Ta 2.87
Cu (0.5000, 0.5000, 0.0000)  4 Zr 2.76, 4 Ta 2.87

=====

(2)
ZrTa2Cu: relaxed, PBE.

Density of states at the Fermi level in states/eV per cell: 3.69
Excess energy over the best structure of this formula in the dataset in eV/f.u.: 0.00
DFT total energy in eV per atom: -9.037

Cell: 3.3694 3.3694 6.3253 Å, 90.00 90.00 90.00°
Last column: nearest neighbours and their distance in Å.
Positions (direct):
Zr (0.0000, 0.0000, 0.0000)  4 Cu 2.89, 6 Ta 2.95-3.22
Ta (0.0000, 0.0000, 0.4910)  4 Ta 2.80, 4 Cu 2.80, 1 Zr 3.11
Ta (0.5000, 0.5000, 0.7239)  4 Ta 2.80, 1 Cu 2.95, 4 Zr 2.95
Cu (0.5000, 0.5000, 0.2573)  5 Ta 2.80-2.95, 4 Zr 2.89

=====

(3)
ZrTaCu: relaxed, PBE.

Density of states at the Fermi level in states/eV per cell: 3.60
Excess energy over the best structure of this formula in the dataset in eV/f.u.: 1.29
DFT total energy in eV per atom: -7.693

Cell: 4.3675 4.3675 4.3675 Å, 60.00 60.00 60.00°
Last column: nearest neighbours and their distance in Å.
Positions (direct):
Zr (0.0000, 0.0000, 0.0000)  4 Cu 2.67
Ta (0.5000, 0.5000, 0.5000)  4 Cu 2.67
Cu (0.2500, 0.2500, 0.2500)  4 Zr 2.67, 4 Ta 2.67

=====

(4)
ZrTa2Cu: relaxed, PBE.

Density of states at the Fermi level in states/eV per cell: 4.00
Excess energy over the best structure of this formula in the dataset in eV/f.u.: 0.56
DFT total energy in eV per atom: -8.898

Cell: 3.0537 3.6283 6.4390 Å, 90.00 90.00 90.00°
Last column: nearest neighbours and their distance in Å.
Positions (direct):
Zr (0.0000, 0.0000, 0.0000)  8 Ta 2.97, 2 Zr 3.05, 2 Cu 3.22
Ta (0.5000, 0.5000, 0.2766)  4 Cu 2.77, 3 Ta 2.88-3.05, 4 Zr 2.97
Ta (0.5000, 0.5000, 0.7234)  4 Cu 2.77, 3 Ta 2.88-3.05, 4 Zr 2.97
Cu (0.0000, 0.0000, 0.5000)  8 Ta 2.77, 2 Cu 3.05

=====

(5)
ZrTa2Cu: relaxed, PBE.

Density of states at the Fermi level in states/eV per cell: 4.51
Excess energy over the best structure of this formula in the dataset in eV/f.u.: 0.62
DFT total energy in eV per atom: -8.881

Cell: 5.1267 5.1267 5.0988 Å, 104.36 104.36 34.13°
Last column: nearest neighbours and their distance in Å.
Positions (direct):
Zr (0.0000, 0.0000, 0.0000)  3 Cu 2.79-2.96, 5 Ta 2.91-3.04, 2 Zr 3.01
Ta (0.2229, 0.2229, 0.6857)  5 Ta 2.88-3.01, 4 Cu 2.92-3.01, 3 Zr 3.03-3.15
Ta (0.4675, 0.4675, 0.4690)  2 Cu 2.71, 5 Ta 2.88-3.01, 2 Zr 2.91
Cu (0.7441, 0.7441, 0.2063)  6 Ta 2.71-3.01, 3 Zr 2.79-2.96, 2 Cu 3.01

=====

(6)
ZrTa2Cu: relaxed, PBE.

Density of states at the Fermi level in states/eV per cell: 3.13
Excess energy over the best structure of this formula in the dataset in eV/f.u.: 0.38
DFT total energy in eV per atom: -8.943

Cell: 5.2859 5.2859 5.2859 Å, 135.21 135.21 65.20°
Last column: nearest neighbours and their distance in Å.
Positions (direct):
Zr (0.0000, 0.0000, 0.0000)  4 Cu 2.85, 8 Ta 3.00
Ta (0.2500, 0.7500, 0.5000)  4 Ta 2.85, 4 Zr 3.00, 4 Cu 3.00
Ta (0.7500, 0.2500, 0.5000)  4 Ta 2.85, 4 Zr 3.00, 4 Cu 3.00
Cu (0.5000, 0.5000, 0.0000)  4 Zr 2.85, 8 Ta 3.00